Entry 1:
Entry from Alexandria: La2Cd2Cu at its PBEsol-relaxed geometry (meta-GGA SCAN).

Lattice parameters (Å, degrees): 6.1654 6.1654 7.5843 90.00 90.00 90.00
Closest atoms and distances in Å follow each position.
Space group I4/mmm (No. 139)
One atom of each set of equivalent atoms:
La: 0.0000 0.5000 0.2500 (multiplicity 4)  4 Cd 3.14
Cd: 0.0000 0.0000 0.1683 (multiplicity 4)  1 Cu 2.52, 1 Cd 2.55
Cu: 0.0000 0.0000 0.5000 (multiplicity 2)  2 Cd 2.52

Summary:
Its density of states at the Fermi level is 0.6921 states/eV per atom. The value obtained for the electronic total energy is -323.61 eV per cell. The volume is 288 Å³/cell.

Entry 2:
Entry from Alexandria: La2CdCu at its PBEsol-relaxed geometry (meta-GGA SCAN).

Lattice parameters (Å, degrees): 3.6957 4.9384 5.4794 90.00 90.00 90.00
Closest atoms and distances in Å follow each position.
Space group Pmm2 (No. 25)
One atom of each set of equivalent atoms:
La: 0.0000 0.0000 0.0000 (multiplicity 1)  4 Cd 3.17-3.45, 4 Cu 3.18, 2 La 3.28
La: 0.0000 0.5000 0.3942 (multiplicity 1)  4 Cu 3.15-3.46, 4 Cd 3.17, 2 La 3.28
Cd: 0.5000 0.0000 0.5310 (multiplicity 1)  2 Cu 3.06, 6 La 3.17
Cu: 0.5000 0.5000 0.8602 (multiplicity 1)  2 Cd 3.06, 6 La 3.15-3.18

Summary:
Its density of states at the Fermi level is 0.5763 states/eV per atom. The value obtained for the electronic total energy is -132.80 eV per cell. The volume is 100 Å³/cell.

Entry 3:
Entry from Alexandria: LaCd2Cu2 at its PBEsol-relaxed geometry (meta-GGA SCAN).

Lattice parameters (Å, degrees): 4.1208 4.1208 11.8599 90.00 90.00 90.00
Closest atoms and distances in Å follow each position.
Space group I4/mmm (No. 139)
One atom of each set of equivalent atoms:
La: 0.0000 0.0000 0.0000 (multiplicity 2)  8 Cu 3.15
Cd: 0.0000 0.5000 0.2500 (multiplicity 4)  4 Cu 2.72, 4 Cd 2.91
Cu: 0.0000 0.0000 0.3996 (multiplicity 4)  1 Cu 2.38

Summary:
Its density of states at the Fermi level is 0.5255 states/eV per atom. The value obtained for the electronic total energy is -271.01 eV per cell. The volume is 201 Å³/cell.

Entry 4:
Entry from Alexandria: LaCd2Cu at its PBEsol-relaxed geometry (meta-GGA SCAN).

Lattice parameters (Å, degrees): 4.0844 3.6565 12.2971 90.00 90.00 90.00
Closest atoms and distances in Å follow each position.
Space group Amm2 (No. 38)
One atom of each set of equivalent atoms:
La: 0.0000 0.0000 0.0000 (multiplicity 2)  4 Cu 2.97, 1 Cd 3.32
Cd: 0.0000 0.0000 0.7302 (multiplicity 2)  2 Cu 2.64
Cd: 0.5000 0.0000 0.3258 (multiplicity 2)  4 Cd 2.98, 1 Cu 3.30
Cu: 0.5000 0.0000 0.5938 (multiplicity 2)  2 Cd 2.64

Summary:
Its density of states at the Fermi level is 0.4795 states/eV per atom. The value obtained for the electronic total energy is -239.45 eV per cell. The volume is 184 Å³/cell.

Entry 5:
Entry from Alexandria: La2CdCu at its PBEsol-relaxed geometry (meta-GGA SCAN).

Lattice parameters (Å, degrees): 3.6897 5.0055 10.7568 90.00 90.00 90.00
Closest atoms and distances in Å follow each position.
Space group Imm2 (No. 44)
One atom of each set of equivalent atoms:
La: 0.0000 0.0000 0.0000 (multiplicity 2)  2 Cu 3.08, 2 La 3.23, 4 Cd 3.26
La: 0.0000 0.5000 0.1898 (multiplicity 2)  4 Cu 3.14, 2 La 3.23, 2 Cd 3.44
Cd: 0.0000 0.0000 0.4088 (multiplicity 2)  2 Cu 2.67
Cu: 0.0000 0.5000 0.7298 (multiplicity 2)  2 Cd 2.67

Summary:
Its density of states at the Fermi level is 0.6793 states/eV per atom. The value obtained for the electronic total energy is -265.43 eV per cell. The volume is 199 Å³/cell.

Entry 6:
Entry from Alexandria: La2CdCu at its PBEsol-relaxed geometry (meta-GGA SCAN).

Lattice parameters (Å, degrees): 7.1594 7.1594 7.1594 90.00 90.00 90.00
Closest atoms and distances in Å follow each position.
Space group F-43m (No. 216)
One atom of each set of equivalent atoms:
La: 0.0000 0.0000 0.0000 (multiplicity 4)  4 La 3.10, 4 Cu 3.10
La: 0.2500 0.2500 0.2500 (multiplicity 4)  4 Cd 3.10, 4 La 3.10
Cd: 0.0000 0.0000 0.5000 (multiplicity 4)  4 Cu 3.10, 4 La 3.10
Cu: 0.2500 0.2500 0.7500 (multiplicity 4)  4 Cd 3.10, 4 La 3.10

Summary:
Its density of states at the Fermi level is 1.0395 states/eV per atom. The value obtained for the electronic total energy is -527.67 eV per cell. The volume is 367 Å³/cell.

- Which value of electronic total energy does entry 6 give?
  -527.67 eV per cell

- Look up the electronic total energy of the first one.
  -323.61 eV per cell